DFT (PBE with a Hubbard U) results for a relaxed BaVZnO2 crystal.

The density of states at the Fermi level comes out at 2.38 states/eV per cell. For the calculated total energy, the calculation gives -4.996 eV/atom.

Cell: 4.070 4.070 4.888 Å, 90.00 90.00 90.00°
Space group P4/mmm (No. 123)
Unique sites:
Ba (0.000, 0.000, 0.000) x1
V (0.500, 0.500, 0.500) x1
Zn (0.500, 0.500, 0.000) x1
O (0.000, 0.500, 0.500) x2